Entry 1:
First-principles (PBE) data for a geometry-optimized MgHRh3 structure, as listed in Alexandria via LeMat-Bulk.

Its energy above the lowest structure with this stoichiometry is 0.0 kJ/mol of atoms. The value obtained for the total energy is -28.271 eV/cell. The calculation puts the spin magnetization at 0.00 μB per formula unit.

It has space group Pm-3m (No. 221), with a = 3.940 Å, b = 3.940 Å, c = 3.940 Å, α = 90.00°, β = 90.00° and γ = 90.00°. The inequivalent atoms are Mg at (0.000, 0.000, 0.000), H at (0.500, 0.500, 0.500) and Rh at (0.000, 0.500, 0.500).

=====

Entry 2:
First-principles (PBE) data for a geometry-optimized MgHRh3 structure, as listed in Alexandria via LeMat-Bulk.

Its energy above the lowest structure with this stoichiometry is 13.5 kJ/mol of atoms. The value obtained for the total energy is -220.588 eV/cell. The calculation puts the spin magnetization at 0.00 μB per formula unit.

It has space group C2/c (No. 15), with a = 9.142 Å, b = 11.180 Å, c = 4.893 Å, α = 90.00°, β = 90.40° and γ = 90.00°. The inequivalent atoms are Mg at (0.135, 0.070, 0.079), H at (0.000, 0.305, 0.750), H at (0.000, 0.445, 0.250), Rh at (0.126, 0.433, 0.573), Rh at (0.127, 0.311, 0.092) and Rh at (0.128, 0.189, 0.579).

=====

Entry 3:
First-principles (PBE) data for a geometry-optimized Mg3H7Rh2 structure, as listed in Alexandria via LeMat-Bulk.

The value obtained for the total energy is -45.578 eV/cell. The calculation puts the spin magnetization at 0.00 μB per formula unit.

It has space group P-1 (No. 2), with a = 3.494 Å, b = 3.510 Å, c = 9.538 Å, α = 86.92°, β = 86.63° and γ = 88.77°. The inequivalent atoms are Mg at (0.000, 0.000, 0.000), Mg at (0.098, 0.084, 0.645), H at (0.033, 0.539, 0.815), H at (0.434, 0.440, 0.361), H at (0.456, 0.972, 0.184), H at (0.500, 0.500, 0.000) and Rh at (0.467, 0.472, 0.184).

=====

Entry 4:
First-principles (PBE) data for a geometry-optimized Mg2H3Rh structure, as listed in Alexandria via LeMat-Bulk.

Its energy above the lowest structure with this stoichiometry is 0.0 kJ/mol of atoms. The value obtained for the total energy is -88.764 eV/cell. The calculation puts the spin magnetization at 0.00 μB per formula unit.

It has space group C2/m (No. 12), with a = 12.345 Å, b = 3.119 Å, c = 7.148 Å, α = 90.00°, β = 110.50° and γ = 90.00°. The inequivalent atoms are Mg at (0.038, 0.000, 0.221), Mg at (0.217, 0.500, 0.684), H at (0.060, 0.500, 0.725), H at (0.161, 0.000, 0.494), H at (0.193, 0.000, 0.938) and Rh at (0.138, 0.500, 0.995).

=====

Entry 5:
First-principles (PBE) data for a geometry-optimized MgHRh3 structure, as listed in Alexandria via LeMat-Bulk.

Its energy above the lowest structure with this stoichiometry is 19.0 kJ/mol of atoms. The value obtained for the total energy is -109.140 eV/cell. The calculation puts the spin magnetization at 0.00 μB per formula unit.

It has space group C2/m (No. 12), with a = 15.842 Å, b = 2.855 Å, c = 6.093 Å, α = 90.00°, β = 102.52° and γ = 90.00°. The inequivalent atoms are Mg at (0.175, 0.000, 0.288), H at (0.196, 0.500, 0.015), Rh at (0.013, 0.000, 0.814), Rh at (0.083, 0.500, 0.524) and Rh at (0.193, 0.000, 0.824).

=====

Entry 6:
First-principles (PBE) data for a geometry-optimized Mg2H5Rh structure, as listed in Alexandria via LeMat-Bulk.

Its energy above the lowest structure with this stoichiometry is 0.0 kJ/mol of atoms. The value obtained for the total energy is -59.802 eV/cell. The calculation puts the spin magnetization at 0.00 μB per formula unit.

It has space group I4mm (No. 107), with a = 4.562 Å, b = 4.562 Å, c = 6.875 Å, α = 90.00°, β = 90.00° and γ = 90.00°. The inequivalent atoms are Mg at (0.000, 0.500, 0.000), H at (0.000, 0.000, 0.499), H at (0.244, 0.244, 0.734) and Rh at (0.000, 0.000, 0.254).

=====

Entry 7:
First-principles (PBE) data for a geometry-optimized MgHRh3 structure, as listed in Alexandria via LeMat-Bulk.

Its energy above the lowest structure with this stoichiometry is 26.9 kJ/mol of atoms. The value obtained for the total energy is -53.753 eV/cell. The calculation puts the spin magnetization at 0.00 μB per formula unit.

It has space group P6_3/mmc (No. 194), with a = 2.9113 Å, b = 2.9113 Å, c = 17.5471 Å, α = 90.00°, β = 90.00° and γ = 120.00°. The inequivalent atoms are Mg at (0.0000, 0.0000, 0.0000), H at (0.3333, 0.6667, 0.2500), Rh at (0.0000, 0.0000, 0.2500) and Rh at (0.3333, 0.6667, 0.1227).

=====

Entry 8:
First-principles (PBE) data for a geometry-optimized Mg2H2Rh structure, as listed in Alexandria via LeMat-Bulk.

Its energy above the lowest structure with this stoichiometry is 0.0 kJ/mol of atoms. The value obtained for the total energy is -37.659 eV/cell. The calculation puts the spin magnetization at 0.00 μB per formula unit.

It has space group I4/mmm (No. 139), with a = 4.463 Å, b = 4.463 Å, c = 6.455 Å, α = 90.00°, β = 90.00° and γ = 90.00°. The inequivalent atoms are Mg at (0.000, 0.500, 0.250), H at (0.000, 0.000, 0.241) and Rh at (0.000, 0.000, 0.500).

=====

Entry 9:
First-principles (PBE) data for a geometry-optimized MgH8Rh4 structure, as listed in Alexandria via LeMat-Bulk.

The value obtained for the total energy is -118.052 eV/cell. The calculation puts the spin magnetization at 0.00 μB per formula unit.

It has space group C2/m (No. 12), with a = 9.660 Å, b = 5.638 Å, c = 5.580 Å, α = 90.00°, β = 124.63° and γ = 90.00°. The inequivalent atoms are Mg at (0.000, 0.000, 0.000), H at (0.018, 0.258, 0.725), H at (0.224, 0.500, 0.760), H at (0.231, 0.000, 0.768), Rh at (0.000, 0.000, 0.500), Rh at (0.000, 0.500, 0.500) and Rh at (0.250, 0.250, 0.000).

=====

Entry 10:
First-principles (PBE) data for a geometry-optimized MgHRh3 structure, as listed in Alexandria via LeMat-Bulk.

Its energy above the lowest structure with this stoichiometry is 21.9 kJ/mol of atoms. The value obtained for the total energy is -108.544 eV/cell. The calculation puts the spin magnetization at 0.00 μB per formula unit.

It has space group Cmcm (No. 63), with a = 5.363 Å, b = 9.191 Å, c = 5.274 Å, α = 90.00°, β = 90.00° and γ = 90.00°. The inequivalent atoms are Mg at (0.000, 0.059, 0.250), H at (0.000, 0.358, 0.750), Rh at (0.000, 0.500, 0.000) and Rh at (0.237, 0.205, 0.750).

=====

Entry 11:
First-principles (PBE) data for a geometry-optimized Mg2H8Rh3 structure, as listed in Alexandria via LeMat-Bulk.

The value obtained for the total energy is -108.951 eV/cell. The calculation puts the spin magnetization at 0.00 μB per formula unit.

It has space group C2/m (No. 12), with a = 8.338 Å, b = 5.494 Å, c = 5.129 Å, α = 90.00°, β = 101.90° and γ = 90.00°. The inequivalent atoms are Mg at (0.206, 0.000, 0.207), H at (0.086, 0.254, 0.848), H at (0.111, 0.500, 0.351), H at (0.125, 0.000, 0.545), Rh at (0.000, 0.256, 0.500) and Rh at (0.000, 0.500, 0.000).

=====

Entry 12:
First-principles (PBE) data for a geometry-optimized MgHRh2 structure, as listed in Alexandria via LeMat-Bulk.

Its energy above the lowest structure with this stoichiometry is 50.7 kJ/mol of atoms. The value obtained for the total energy is -72.771 eV/cell. The calculation puts the spin magnetization at 0.00 μB per formula unit.

It has space group Fm-3m (No. 225), with a = 5.862 Å, b = 5.862 Å, c = 5.862 Å, α = 90.00°, β = 90.00° and γ = 90.00°. The inequivalent atoms are Mg at (0.000, 0.000, 0.000), H at (0.000, 0.000, 0.500) and Rh at (0.250, 0.250, 0.250).